Record 1
# YPuAu4 PBE relaxed
# - Excess energy over the best structure of this formula in the dataset: 0.00 kcal/mol of atoms
# - Density: 14.2 Mg/m³
# - Magnetization: 5.4 Bohr magnetons per cell
data_YPuAu4
_cell_length_a 3.7626
_cell_length_b 3.7626
_cell_length_c 9.2551
_cell_angle_alpha 90.00
_cell_angle_beta 90.00
_cell_angle_gamma 90.00
_symmetry_space_group_name_H-M 'P 1'
_symmetry_Int_Tables_number 1
loop_
_symmetry_equiv_pos_as_xyz
'x,y,z'
loop_
_atom_site_label
_atom_site_type_symbol
_atom_site_fract_x
_atom_site_fract_y
_atom_site_fract_z
_atom_site_occupancy
Pu1 Pu 0.0000 0.0000 0.0000 1
Au1 Au 0.5000 0.5000 0.1717 1
Au2 Au 0.0000 0.0000 0.3377 1
Au3 Au 0.5000 0.5000 0.8283 1
Au4 Au 0.0000 0.0000 0.6623 1
Y1 Y 0.5000 0.5000 0.5000 1

---

Record 2
# YPu2Au4 PBE relaxed
# - Electronic total energy: -0.26859 hartree per atom
# - Density: 12.9 Mg/m³
# - Magnetization: 12.1 Bohr magnetons per cell
data_YPu2Au4
_cell_length_a 5.0127
_cell_length_b 5.0127
_cell_length_c 7.8613
_cell_angle_alpha 108.59
_cell_angle_beta 108.59
_cell_angle_gamma 90.00
_symmetry_space_group_name_H-M 'P 1'
_symmetry_Int_Tables_number 1
loop_
_symmetry_equiv_pos_as_xyz
'x,y,z'
loop_
_atom_site_label
_atom_site_type_symbol
_atom_site_fract_x
_atom_site_fract_y
_atom_site_fract_z
_atom_site_occupancy
Au1 Au 0.3856 0.8856 0.7711 1
Au2 Au 0.6144 0.1144 0.2289 1
Au3 Au 0.8856 0.3856 0.7711 1
Au4 Au 0.1144 0.6144 0.2289 1
Pu1 Pu 0.2626 0.2626 0.5252 1
Pu2 Pu 0.7374 0.7374 0.4748 1
Y1 Y 0.0000 0.0000 0.0000 1

---

Record 3
# YPuZnAu PBE relaxed
# - Electronic total energy: -0.24623 hartree per atom
# - Density: 10.5 Mg/m³
# - Magnetization: 5.8 Bohr magnetons per cell
data_YPuZnAu
_cell_length_a 5.1117
_cell_length_b 5.1117
_cell_length_c 5.1117
_cell_angle_alpha 60.00
_cell_angle_beta 60.00
_cell_angle_gamma 60.00
_symmetry_space_group_name_H-M 'P 1'
_symmetry_Int_Tables_number 1
loop_
_symmetry_equiv_pos_as_xyz
'x,y,z'
loop_
_atom_site_label
_atom_site_type_symbol
_atom_site_fract_x
_atom_site_fract_y
_atom_site_fract_z
_atom_site_occupancy
Pu1 Pu 0.2500 0.2500 0.2500 1
Zn1 Zn 0.0000 0.0000 0.0000 1
Au1 Au 0.5000 0.5000 0.5000 1
Y1 Y 0.7500 0.7500 0.7500 1

---

Record 4
# PuZn9Au2 PBE relaxed
# - Excess energy over the best structure of this formula in the dataset: 1.81 kcal/mol of atoms
# - Density: 9.9 Mg/m³
# - Magnetization: 5.5 Bohr magnetons per cell
data_PuZn9Au2
_cell_length_a 3.0320
_cell_length_b 8.8435
_cell_length_c 8.8435
_cell_angle_alpha 120.00
_cell_angle_beta 90.00
_cell_angle_gamma 90.00
_symmetry_space_group_name_H-M 'P 1'
_symmetry_Int_Tables_number 1
loop_
_symmetry_equiv_pos_as_xyz
'x,y,z'
loop_
_atom_site_label
_atom_site_type_symbol
_atom_site_fract_x
_atom_site_fract_y
_atom_site_fract_z
_atom_site_occupancy
Zn1 Zn 0.5000 0.1804 0.3607 1
Zn2 Zn 0.5000 0.8196 0.6393 1
Zn3 Zn 0.5000 0.3607 0.1804 1
Zn4 Zn 0.0000 0.5000 0.5000 1
Zn5 Zn 0.5000 0.8196 0.1804 1
Zn6 Zn 0.5000 0.6393 0.8196 1
Zn7 Zn 0.0000 0.0000 0.5000 1
Zn8 Zn 0.5000 0.1804 0.8196 1
Zn9 Zn 0.0000 0.5000 0.0000 1
Pu1 Pu 0.0000 0.0000 0.0000 1
Au1 Au 0.0000 0.3333 0.6667 1
Au2 Au 0.0000 0.6667 0.3333 1

---

Record 5
# Pu2ZnAu PBE relaxed
# - Electronic total energy: -0.29749 hartree per atom
# - Density: 18.3 Mg/m³
# - Magnetization: 0.0 Bohr magnetons per cell
data_Pu2ZnAu
_cell_length_a 5.1105
_cell_length_b 6.3550
_cell_length_c 6.3550
_cell_angle_alpha 47.39
_cell_angle_beta 66.29
_cell_angle_gamma 66.29
_symmetry_space_group_name_H-M 'P 1'
_symmetry_Int_Tables_number 1
loop_
_symmetry_equiv_pos_as_xyz
'x,y,z'
loop_
_atom_site_label
_atom_site_type_symbol
_atom_site_fract_x
_atom_site_fract_y
_atom_site_fract_z
_atom_site_occupancy
Pu1 Pu 0.7519 0.7481 0.2481 1
Pu2 Pu 0.2481 0.2519 0.7519 1
Pu3 Pu 0.2519 0.7481 0.2481 1
Pu4 Pu 0.7481 0.2519 0.7519 1
Zn1 Zn 0.2500 0.7490 0.7510 1
Zn2 Zn 0.7500 0.2510 0.2490 1
Au1 Au 0.2500 0.2478 0.2522 1
Au2 Au 0.7500 0.7522 0.7478 1

---

Record 6
# PuZnAu PBE relaxed
# - Electronic total energy: -0.24138 hartree per atom
# - Density: 13.6 Mg/m³
# - Magnetization: 6.0 Bohr magnetons per cell
data_PuZnAu
_cell_length_a 3.0494
_cell_length_b 3.7788
_cell_length_c 5.9009
_cell_angle_alpha 108.67
_cell_angle_beta 104.97
_cell_angle_gamma 90.00
_symmetry_space_group_name_H-M 'P 1'
_symmetry_Int_Tables_number 1
loop_
_symmetry_equiv_pos_as_xyz
'x,y,z'
loop_
_atom_site_label
_atom_site_type_symbol
_atom_site_fract_x
_atom_site_fract_y
_atom_site_fract_z
_atom_site_occupancy
Zn1 Zn 0.6886 0.6886 0.3772 1
Pu1 Pu 0.0006 0.0006 0.0013 1
Au1 Au 0.3108 0.3108 0.6216 1

---

Record 7
# PuZn9Au2 PBE relaxed
# - Excess energy over the best structure of this formula in the dataset: 0.00 kcal/mol of atoms
# - Density: 10.1 Mg/m³
# - Magnetization: 11.1 Bohr magnetons per cell
data_PuZn9Au2
_cell_length_a 6.9786
_cell_length_b 8.3647
_cell_length_c 8.3647
_cell_angle_alpha 79.98
_cell_angle_beta 65.35
_cell_angle_gamma 65.35
_symmetry_space_group_name_H-M 'P 1'
_symmetry_Int_Tables_number 1
loop_
_symmetry_equiv_pos_as_xyz
'x,y,z'
loop_
_atom_site_label
_atom_site_type_symbol
_atom_site_fract_x
_atom_site_fract_y
_atom_site_fract_z
_atom_site_occupancy
Au1 Au 0.8750 0.2500 0.7500 1
Au2 Au 0.8750 0.7500 0.2500 1
Au3 Au 0.8750 0.2500 0.2500 1
Au4 Au 0.3750 0.7500 0.7500 1
Zn1 Zn 0.0826 0.9132 0.3282 1
Zn2 Zn 0.4261 0.4132 0.8282 1
Zn3 Zn 0.5893 0.0868 0.3282 1
Zn4 Zn 0.7457 0.8282 0.5868 1
Zn5 Zn 0.7500 0.5000 0.5000 1
Zn6 Zn 0.0826 0.3282 0.9132 1
Zn7 Zn 0.6674 0.1718 0.5868 1
Zn8 Zn 0.0043 0.9132 0.6718 1
Zn9 Zn 0.0000 0.0000 0.0000 1
Zn10 Zn 0.7457 0.5868 0.8282 1
Zn11 Zn 0.5893 0.3282 0.0868 1
Zn12 Zn 0.3239 0.6718 0.0868 1
Zn13 Zn 0.1607 0.1718 0.4132 1
Zn14 Zn 0.4261 0.8282 0.4132 1
Zn15 Zn 0.0043 0.6718 0.9132 1
Zn16 Zn 0.6674 0.5868 0.1718 1
Zn17 Zn 0.1607 0.4132 0.1718 1
Zn18 Zn 0.3239 0.0868 0.6718 1
Pu1 Pu 0.2500 0.5000 0.5000 1
Pu2 Pu 0.5000 0.0000 0.0000 1

---

Record 8
# PuZn5Au7 PBE relaxed
# - Electronic total energy: -0.13315 hartree per atom
# - Density: 14.0 Mg/m³
# - Magnetization: 5.6 Bohr magnetons per cell
data_PuZn5Au7
_cell_length_a 5.3125
_cell_length_b 7.1126
_cell_length_c 7.1126
_cell_angle_alpha 83.09
_cell_angle_beta 68.07
_cell_angle_gamma 68.07
_symmetry_space_group_name_H-M 'P 1'
_symmetry_Int_Tables_number 1
loop_
_symmetry_equiv_pos_as_xyz
'x,y,z'
loop_
_atom_site_label
_atom_site_type_symbol
_atom_site_fract_x
_atom_site_fract_y
_atom_site_fract_z
_atom_site_occupancy
Au1 Au 0.2730 0.2270 0.2270 1
Au2 Au 0.9949 0.6646 0.3457 1
Au3 Au 0.5112 0.1829 0.7947 1
Au4 Au 0.6482 0.3518 0.3518 1
Au5 Au 0.3255 0.6745 0.6745 1
Au6 Au 0.5112 0.7947 0.1829 1
Au7 Au 0.9949 0.3457 0.6646 1
Zn1 Zn 0.0057 0.9968 0.4948 1
Zn2 Zn 0.7325 0.7675 0.7675 1
Zn3 Zn 0.5027 0.9968 0.4948 1
Zn4 Zn 0.5027 0.4948 0.9968 1
Zn5 Zn 0.0057 0.4948 0.9968 1
Pu1 Pu 0.9920 0.0080 0.0080 1

---

Record 9
# PuZn9Au3 PBE relaxed
# - Electronic total energy: -0.10647 hartree per atom
# - Density: 10.6 Mg/m³
# - Magnetization: 5.9 Bohr magnetons per cell
data_PuZn9Au3
_cell_length_a 5.3936
_cell_length_b 6.9919
_cell_length_c 6.9916
_cell_angle_alpha 81.20
_cell_angle_beta 67.31
_cell_angle_gamma 66.62
_symmetry_space_group_name_H-M 'P 1'
_symmetry_Int_Tables_number 1
loop_
_symmetry_equiv_pos_as_xyz
'x,y,z'
loop_
_atom_site_label
_atom_site_type_symbol
_atom_site_fract_x
_atom_site_fract_y
_atom_site_fract_z
_atom_site_occupancy
Zn1 Zn 0.7197 0.7864 0.7911 1
Zn2 Zn 0.2803 0.2136 0.2089 1
Zn3 Zn 0.9997 0.6415 0.3544 1
Zn4 Zn 0.3541 0.6415 0.6456 1
Zn5 Zn 0.0003 0.3585 0.6456 1
Zn6 Zn 0.0000 0.5000 0.0000 1
Zn7 Zn 0.6459 0.3585 0.3544 1
Zn8 Zn 0.5108 0.7864 0.2089 1
Zn9 Zn 0.4892 0.2136 0.7911 1
Pu1 Pu 0.0000 0.0000 0.0000 1
Au1 Au 0.5000 0.5000 0.0000 1
Au2 Au 0.0000 0.0000 0.5000 1
Au3 Au 0.5000 0.0000 0.5000 1

---

Record 10
# Pu2ZnAu3 PBE relaxed
# - Excess energy over the best structure of this formula in the dataset: 0.00 kcal/mol of atoms
# - Density: 15.1 Mg/m³
# - Magnetization: 23.2 Bohr magnetons per cell
data_Pu2ZnAu3
_cell_length_a 5.7440
_cell_length_b 5.7440
_cell_length_c 8.9544
_cell_angle_alpha 100.76
_cell_angle_beta 100.76
_cell_angle_gamma 114.72
_symmetry_space_group_name_H-M 'P 1'
_symmetry_Int_Tables_number 1
loop_
_symmetry_equiv_pos_as_xyz
'x,y,z'
loop_
_atom_site_label
_atom_site_type_symbol
_atom_site_fract_x
_atom_site_fract_y
_atom_site_fract_z
_atom_site_occupancy
Au1 Au 0.1714 0.1714 0.3428 1
Au2 Au 0.1734 0.6554 0.8288 1
Au3 Au 0.3446 0.8266 0.1712 1
Au4 Au 0.8286 0.8286 0.6572 1
Au5 Au 0.8266 0.3446 0.1712 1
Au6 Au 0.6554 0.1734 0.8288 1
Zn1 Zn 0.3335 0.3335 0.6669 1
Zn2 Zn 0.6665 0.6665 0.3331 1
Pu1 Pu 0.2500 0.7500 0.5000 1
Pu2 Pu 0.2438 0.2438 0.0000 1
Pu3 Pu 0.7562 0.7562 0.0000 1
Pu4 Pu 0.7500 0.2500 0.5000 1